CsCd2Rh2 after structural relaxation. Source: Alexandria via LeMat-Bulk, functional GGA-PBE.

The calculation puts the magnetization at 0.06 μB/f.u. The calculation puts the theoretical density at 8.37 g cm⁻³. As for the energy above the most stable polymorph in this dataset: 91 meV per atom. The total energy is -31.21 eV for the cell shown.

The space group is P4/mbm (No. 127) and the conventional cell measures 8.522, 8.522 and 3.078 Å, with angles of 90.00, 90.00 and 90.00 degrees. The distinct sites, in fractional coordinates, are Cs at (0.000, 0.000, 0.000), Cd at (0.140, 0.360, 0.000) and Rh at (0.143, 0.643, 0.500).